5
Lattice="4.010 0.000 0.000 0.000 4.010 0.000 0.000 0.000 4.010" Properties=species:S:1:pos:R:3 comment="AgPdC3 | Alexandria | SCAN | single point on PBEsol structure" m_tot_mub_per_fu=0.0 ef_mev_per_atom=3315 pbc="T T T"
C 2.005 0.000 0.000
C 0.000 2.005 0.000
C 0.000 0.000 2.005
Pd 2.005 2.005 2.005
Ag 0.000 0.000 0.000